VASP calculation (PBE) on a relaxed Mg5InGaHg2 crystal. Values from VASP.

Results
SG   I4/mcm
Crystal system   tetragonal
ΔH_f (0 K)   -29 meV/atom
Raw total energy   -29.2 eV per cell
Total magnetic moment   0.00 μB/f.u.

Structure (Quantum ESPRESSO input):
```
&SYSTEM
  ibrav = 0, nat = 18, ntyp = 4
/
ATOMIC_SPECIES
Mg 24.30 Mg.upf
In 114.82 In.upf
Ga 69.72 Ga.upf
Hg 200.59 Hg.upf
ATOMIC_POSITIONS crystal
Mg 0.912 0.412 0.297
Mg 0.615 0.115 0.703
Mg 0.088 0.588 0.703
Mg 0.115 0.088 0.703
Mg 0.588 0.615 0.703
Mg 0.885 0.912 0.297
Mg 0.412 0.385 0.297
Mg 0.385 0.885 0.297
Mg 0.500 0.500 0.000
Mg 0.000 0.000 0.000
In 0.250 0.750 0.500
In 0.750 0.250 0.500
Ga 0.250 0.250 0.500
Ga 0.750 0.750 0.500
Hg 0.141 0.359 0.000
Hg 0.641 0.141 0.000
Hg 0.359 0.859 0.000
Hg 0.859 0.641 0.000
CELL_PARAMETERS angstrom
-0.375 -5.601 -4.346
6.977 -1.063 0.768
-4.804 -1.728 8.441
```